Density functional theory data (PBE-GGA) for an optimized crystal structure of CuReP.

Cell: 3.9105 3.9105 3.9105 Å, 60.00 60.00 60.00°
With the nearest neighbours (Å) after each atom.
Sites, in units of the cell vectors:
Cu 0.5000 0.5000 0.5000  4 P 2.39
P 0.7500 0.7500 0.7500  4 Re 2.39, 4 Cu 2.39
Re 0.0000 0.0000 0.0000  4 P 2.39

Properties
DFT formation energy: 1.58 kcal/mol of atoms
Raw total energy: -7.249 eV per atom
Calculated volume: 42 Å³/cell
Space group: F-43m (216)
Polymorph energy (0 for the lowest one): 0.0 meV per atom

---

Density functional theory data (PBE-GGA) for an optimized crystal structure of Cu4ReP.

Cell: 4.7826 4.7826 4.7826 Å, 60.00 60.00 60.00°
With the nearest neighbours (Å) after each atom.
Sites, in units of the cell vectors:
Cu 0.6250 0.6250 0.1251  6 Cu 2.39
Cu 0.6250 0.1251 0.6250  6 Cu 2.39
Cu 0.6250 0.6250 0.6250  6 Cu 2.39
Cu 0.1251 0.6250 0.6250  6 Cu 2.39
Re 0.0000 0.0000 0.0000  12 Cu 2.80, 4 P 2.93
P 0.2500 0.2500 0.2500  12 Cu 2.80, 4 Re 2.93

Properties
DFT formation energy: 12.98 kcal/mol of atoms
Raw total energy: -5.144 eV per atom
Calculated volume: 77 Å³/cell
Space group: F-43m (216)

---

Density functional theory data (PBE-GGA) for an optimized crystal structure of CuReP2S.

Cell: 4.3523 4.3523 4.4331 Å, 90.00 90.00 90.00°
With the nearest neighbours (Å) after each atom.
Sites, in units of the cell vectors:
Re 0.5000 0.5000 0.5000  4 S 3.08, 8 P 3.11
S 0.0000 0.0000 0.5000  2 Cu 2.22
Cu 0.0000 0.0000 0.0000  4 P 2.18, 2 S 2.22
P 0.0000 0.5000 0.0000  2 Cu 2.18
P 0.5000 0.0000 0.0000  2 Cu 2.18

Properties
Raw total energy: -4.914 eV per atom
Formation energy from raw total energies: 31.913 kcal/mol of atoms
Calculated volume: 84 Å³/cell
Space group: P4/mmm (123)
Polymorph energy (0 for the lowest one): 568.9 meV per atom

---

Density functional theory data (PBE-GGA) for an optimized crystal structure of CuRePS2.

Cell: 4.5068 4.5068 4.9341 Å, 90.00 90.00 90.00°
With the nearest neighbours (Å) after each atom.
Sites, in units of the cell vectors:
Re 0.0000 0.0000 0.0000  4 S 2.25, 2 P 2.47
S 0.0000 0.5000 0.0000  2 Re 2.25
S 0.5000 0.0000 0.0000  2 Re 2.25
Cu 0.5000 0.5000 0.5000  4 P 3.19, 8 S 3.34
P 0.0000 0.0000 0.5000  2 Re 2.47

Properties
Raw total energy: -5.321 eV per atom
Formation energy from raw total energies: 16.621 kcal/mol of atoms
Calculated volume: 100 Å³/cell
Space group: P4/mmm (123)
Polymorph energy (0 for the lowest one): 0.0 meV per atom

---

Density functional theory data (PBE-GGA) for an optimized crystal structure of CuRePS2.

Cell: 4.4090 4.4090 4.4206 Å, 90.00 90.00 90.00°
With the nearest neighbours (Å) after each atom.
Sites, in units of the cell vectors:
Re 0.5000 0.5000 0.5000  4 P 3.12, 8 S 3.12
S 0.0000 0.5000 0.0000  2 Cu 2.20
S 0.5000 0.0000 0.0000  2 Cu 2.20
Cu 0.0000 0.0000 0.0000  4 S 2.20, 2 P 2.21
P 0.0000 0.0000 0.5000  2 Cu 2.21

Properties
Raw total energy: -4.684 eV per atom
Formation energy from raw total energies: 31.305 kcal/mol of atoms
Calculated volume: 86 Å³/cell
Space group: P4/mmm (123)
Polymorph energy (0 for the lowest one): 636.8 meV per atom

---

Density functional theory data (PBE-GGA) for an optimized crystal structure of CuReP2S.

Cell: 4.6469 4.6469 4.6188 Å, 90.00 90.00 90.00°
With the nearest neighbours (Å) after each atom.
Sites, in units of the cell vectors:
Re 0.0000 0.0000 0.0000  2 S 2.31, 4 P 2.32
S 0.0000 0.0000 0.5000  2 Re 2.31
Cu 0.5000 0.5000 0.5000  8 P 3.28, 4 S 3.29
P 0.0000 0.5000 0.0000  2 Re 2.32
P 0.5000 0.0000 0.0000  2 Re 2.32

Properties
Raw total energy: -5.483 eV per atom
Formation energy from raw total energies: 18.793 kcal/mol of atoms
Calculated volume: 100 Å³/cell
Space group: P4/mmm (123)
Polymorph energy (0 for the lowest one): 0.0 meV per atom

---

Density functional theory data (PBE-GGA) for an optimized crystal structure of SrCu2ReP.

Cell: 4.5644 4.5647 4.5644 Å, 90.00 90.00 90.00°
With the nearest neighbours (Å) after each atom.
Sites, in units of the cell vectors:
Re 0.0000 0.5000 0.0000  2 P 2.28
P 0.0000 0.0000 0.0000  4 Cu 2.28, 2 Re 2.28
Cu 0.0000 0.0000 0.5000  2 P 2.28
Cu 0.5000 0.0000 0.0000  2 P 2.28
Sr 0.5000 0.5000 0.5000  4 Re 3.23, 8 Cu 3.23

Properties
DFT formation energy: 7.59 kcal/mol of atoms
Raw total energy: -5.217 eV per atom
Calculated volume: 95 Å³/cell
Space group: P4/mmm (123)
Polymorph energy (0 for the lowest one): 261.2 meV per atom

---

Density functional theory data (PBE-GGA) for an optimized crystal structure of SrCu2ReP.

Cell: 4.8519 4.5113 4.8519 Å, 90.00 90.00 90.00°
With the nearest neighbours (Å) after each atom.
Sites, in units of the cell vectors:
Re 0.0000 0.0000 0.0000  2 P 2.26, 4 Cu 2.43
P 0.0000 0.5000 0.0000  2 Re 2.26
Cu 0.0000 0.0000 0.5000  2 Re 2.43
Cu 0.5000 0.0000 0.0000  2 Re 2.43
Sr 0.5000 0.5000 0.5000  8 Cu 3.31, 4 P 3.43

Properties
DFT formation energy: 1.57 kcal/mol of atoms
Raw total energy: -5.479 eV per atom
Calculated volume: 106 Å³/cell
Space group: P4/mmm (123)
Polymorph energy (0 for the lowest one): 0.0 meV per atom

---

Density functional theory data (PBE-GGA) for an optimized crystal structure of ZrCuRe2P.

Cell: 4.9144 4.8625 4.9144 Å, 90.00 90.00 90.00°
With the nearest neighbours (Å) after each atom.
Sites, in units of the cell vectors:
Re 0.0000 0.0000 0.5000  2 Zr 2.46
Re 0.5000 0.0000 0.0000  2 Zr 2.46
Cu 0.5000 0.5000 0.5000  8 Re 3.46, 4 P 3.48
Zr 0.0000 0.0000 0.0000  2 P 2.43, 4 Re 2.46
P 0.0000 0.5000 0.0000  2 Zr 2.43

Properties
DFT formation energy: 52.61 kcal/mol of atoms
Raw total energy: -6.309 eV per atom
Calculated volume: 117 Å³/cell
Space group: P4/mmm (123)
Polymorph energy (0 for the lowest one): 1625.8 meV per atom

---

Density functional theory data (PBE-GGA) for an optimized crystal structure of ZrCuRe2P.

Cell: 4.3686 4.8089 4.3686 Å, 90.00 90.00 90.00°
With the nearest neighbours (Å) after each atom.
Sites, in units of the cell vectors:
Re 0.0000 0.0000 0.5000  2 P 2.18
Re 0.5000 0.0000 0.0000  2 P 2.18
Cu 0.5000 0.5000 0.5000  4 Zr 3.09, 8 Re 3.25
Zr 0.0000 0.5000 0.0000  2 P 2.40
P 0.0000 0.0000 0.0000  4 Re 2.18, 2 Zr 2.40

Properties
DFT formation energy: 15.11 kcal/mol of atoms
Raw total energy: -7.935 eV per atom
Calculated volume: 92 Å³/cell
Space group: P4/mmm (123)
Polymorph energy (0 for the lowest one): 0.0 meV per atom

---

Density functional theory data (PBE-GGA) for an optimized crystal structure of CuPRh.

Cell: 3.9467 3.9467 3.0394 Å, 90.00 90.00 120.00°
With the nearest neighbours (Å) after each atom.
Sites, in units of the cell vectors:
Cu 0.0000 0.0000 0.9986  6 P 2.73-2.74, 6 Rh 2.74, 2 Cu 3.04
P 0.6667 0.3333 0.5021  3 Rh 2.28
Rh 0.3333 0.6667 0.4993  3 P 2.28

Properties
DFT formation energy: -5.22 kcal/mol of atoms
Raw total energy: -5.845 eV per atom
Calculated volume: 41 Å³/cell
Space group: P3m1 (156)

---

Density functional theory data (PBE-GGA) for an optimized crystal structure of CuP2Rh.

Cell: 4.4918 2.6960 5.4658 Å, 60.44 90.00 90.00°
With the nearest neighbours (Å) after each atom.
Sites, in units of the cell vectors:
Cu 0.5000 0.9605 0.7909  4 P 2.37-2.38
P 0.0000 0.7913 0.9580  2 Rh 2.36-2.39, 2 Cu 2.38
P 0.5000 0.4598 0.2900  2 Cu 2.37-2.38, 2 Rh 2.39
Rh 0.0000 0.2884 0.4611  4 P 2.36-2.39

Properties
DFT formation energy: -1.12 kcal/mol of atoms
Raw total energy: -5.615 eV per atom
Calculated volume: 58 Å³/cell
Space group: Pm (6)
Polymorph energy (0 for the lowest one): 113.4 meV per atom

---

Density functional theory data (PBE-GGA) for an optimized crystal structure of Cu4PRh.

Cell: 4.7862 4.7862 4.7862 Å, 60.00 60.00 60.00°
With the nearest neighbours (Å) after each atom.
Sites, in units of the cell vectors:
Cu 0.8756 0.3748 0.3748  6 Cu 2.39-2.40
Cu 0.3748 0.3748 0.8756  6 Cu 2.39-2.40
Cu 0.3748 0.8756 0.3748  6 Cu 2.39-2.40
Cu 0.3748 0.3748 0.3748  6 Cu 2.39-2.40
P 0.7500 0.7500 0.7500  12 Cu 2.81, 4 Rh 2.93
Rh 0.0000 0.0000 0.0000  12 Cu 2.81, 4 P 2.93

Properties
DFT formation energy: 5.34 kcal/mol of atoms
Raw total energy: -4.626 eV per atom
Calculated volume: 78 Å³/cell
Space group: F-43m (216)

---

Density functional theory data (PBE-GGA) for an optimized crystal structure of CuPRh2.

Cell: 3.7487 2.9147 5.2296 Å, 73.78 90.00 90.00°
With the nearest neighbours (Å) after each atom.
Sites, in units of the cell vectors:
Cu 0.0000 0.5508 0.5231  4 P 2.57, 7 Rh 2.67-2.75
P 0.5000 0.9527 0.7202  3 Rh 2.20-2.27
Rh 0.0000 0.8252 0.9754  2 P 2.27
Rh 0.5000 0.1713 0.2813  1 P 2.20

Properties
DFT formation energy: -4.23 kcal/mol of atoms
Raw total energy: -6.236 eV per atom
Calculated volume: 55 Å³/cell
Space group: Amm2 (38)

---

Density functional theory data (PBE-GGA) for an optimized crystal structure of CuPRh2.

Cell: 6.7081 6.7081 5.4068 Å, 51.66 51.66 90.00°
With the nearest neighbours (Å) after each atom.
Sites, in units of the cell vectors:
P 0.5000 0.5000 0.0000  4 Rh 2.21
P 0.2500 0.7500 0.5000  4 Rh 2.21
Rh 0.5666 0.1250 0.2500  2 P 2.21
Rh 0.1834 0.6250 0.2500  2 P 2.21
Rh 0.3750 0.4334 0.7500  2 P 2.21
Rh 0.8750 0.8166 0.7500  2 P 2.21
Cu 0.0000 0.0000 0.0000  2 P 2.59, 8 Rh 2.74-2.87
Cu 0.7500 0.2500 0.5000  2 P 2.59, 8 Rh 2.74-2.87

Properties
DFT formation energy: -4.27 kcal/mol of atoms
Raw total energy: -6.237 eV per atom
Calculated volume: 117 Å³/cell
Space group: I-42d (122)